# 1
The following is a SCAN calculation of CaCr3Te at its PBEsol-relaxed geometry, from the Alexandria database.

The calculated total energy is -19.870 eV per atom. The calculation puts the density of states at the Fermi level at 3.03 states/eV/f.u. The calculated volume comes out at 26.8 A^3/atom.

The structure belongs to space group Pm-3m (No. 221); the cell edges are 5.117, 5.117 and 5.117 Å and the angles 90.00°, 90.00° and 90.00°. The distinct sites, in fractional coordinates, are Ca at (0.000, 0.000, 0.000), Cr at (0.000, 0.500, 0.500) and Te at (0.500, 0.500, 0.500).

***

# 2
The following is a SCAN calculation of CaCrTe2 at its PBEsol-relaxed geometry, from the Alexandria database.

The calculated total energy is -26.328 eV per atom. The calculation puts the density of states at the Fermi level at 1.10 states/eV/f.u. The calculated volume comes out at 24.5 A^3/atom.

The structure belongs to space group P4/mmm (No. 123); the cell edges are 5.162, 5.162 and 3.684 Å and the angles 90.00°, 90.00° and 90.00°. The distinct sites, in fractional coordinates, are Ca at (0.000, 0.000, 0.000), Cr at (0.500, 0.500, 0.000) and Te at (0.000, 0.500, 0.500).

***

# 3
The following is a SCAN calculation of CaCrTe2 at its PBEsol-relaxed geometry, from the Alexandria database.

The calculated total energy is -26.154 eV per atom. The calculation puts the density of states at the Fermi level at 1.56 states/eV/f.u. The calculated volume comes out at 30.6 A^3/atom.

The structure belongs to space group R-3m (No. 166, hexagonal axes); the cell edges are 3.9573, 3.9573 and 27.0974 Å and the angles 90.00°, 90.00° and 120.00°. The distinct sites, in fractional coordinates, are Ca at (0.0000, 0.0000, 0.0000), Cr at (0.0000, 0.0000, 0.5000) and Te at (0.0000, 0.0000, 0.1128).